Record 1
Entry from Alexandria: an optimized crystal structure of PdS (GGA-PBE).

Summary:
As for the volume: 200.9 Å³ per cell. Its symmetry is I-43m (217). The magnetization comes out at 0.00 μB/cell.

abc: 6.3907 6.3907 6.3907
angles: 109.47 109.47 109.47
Last column: nearest neighbours and their distance in Å.
Fractional coordinates of all 8 atoms:
Pd  0.0000  0.0000  0.2879  4 S 2.26-2.41
Pd  0.0000  0.2879  0.0000  4 S 2.26-2.41
Pd  0.2879  0.0000  0.0000  4 S 2.26-2.41
Pd  0.7121  0.7121  0.7121  4 S 2.26-2.41
S  0.0000  0.0000  0.6417  4 Pd 2.26-2.41
S  0.0000  0.6417  0.0000  4 Pd 2.26-2.41
S  0.3583  0.3583  0.3583  4 Pd 2.26-2.41
S  0.6417  0.0000  0.0000  4 Pd 2.26-2.41

Record 2
Entry from Alexandria: an optimized crystal structure of PdS (GGA-PBE).

Summary:
As for the volume: 159.6 Å³ per cell. Its symmetry is P6_3mc (186). The magnetization comes out at 0.00 μB/cell.

abc: 3.7546 3.7546 13.0702
angles: 90.00 90.00 120.00
Last column: nearest neighbours and their distance in Å.
Fractional coordinates of all 8 atoms:
Pd  0.0000  0.0000  0.0000  4 S 2.36
Pd  0.0000  0.0000  0.5000  4 S 2.36
Pd  0.3333  0.6667  0.2523  4 S 2.34-2.36
Pd  0.6667  0.3333  0.7523  4 S 2.34-2.36
S  0.0000  0.0000  0.3192  4 Pd 2.34-2.36
S  0.0000  0.0000  0.8192  4 Pd 2.34-2.36
S  0.3333  0.6667  0.0716  4 Pd 2.36
S  0.6667  0.3333  0.5716  4 Pd 2.36

Record 3
Entry from Alexandria: an optimized crystal structure of Pd3S4 (GGA-PBE).

Summary:
As for the volume: 258.8 Å³ per cell. Its symmetry is Fd-3m (227). The magnetization comes out at 0.00 μB/cell.

abc: 7.1528 7.1528 7.1528
angles: 60.00 60.00 60.00
Last column: nearest neighbours and their distance in Å.
Fractional coordinates of all 14 atoms:
Pd  0.0000  0.0000  0.0000  6 S 2.43
Pd  0.0000  0.0000  0.5000  6 S 2.43
Pd  0.0000  0.5000  0.0000  6 S 2.43
Pd  0.3750  0.3750  0.3750  4 S 2.37
Pd  0.5000  0.0000  0.0000  6 S 2.43
Pd  0.6250  0.6250  0.6250  4 S 2.37
S  0.2189  0.7604  0.7604  4 Pd 2.37-2.43
S  0.2396  0.2396  0.2396  4 Pd 2.37-2.43
S  0.2396  0.2396  0.7811  4 Pd 2.37-2.43
S  0.2396  0.7811  0.2396  4 Pd 2.37-2.43
S  0.7604  0.2189  0.7604  4 Pd 2.37-2.43
S  0.7604  0.7604  0.2189  4 Pd 2.37-2.43
S  0.7604  0.7604  0.7604  4 Pd 2.37-2.43
S  0.7811  0.2396  0.2396  4 Pd 2.37-2.43

Record 4
Entry from Alexandria: an optimized crystal structure of PdS (GGA-PBE).

Summary:
As for the volume: 283.5 Å³ per cell. Its symmetry is P4_2/m (84). The magnetization comes out at 0.00 μB/cell.

abc: 6.5141 6.5141 6.6807
angles: 90.00 90.00 90.00
Last column: nearest neighbours and their distance in Å.
Fractional coordinates of all 16 atoms:
Pd  0.0000  0.0000  0.2500  4 S 2.37
Pd  0.0000  0.0000  0.7500  4 S 2.37
Pd  0.0000  0.5000  0.0000  4 S 2.34
Pd  0.2575  0.5302  0.5000  4 S 2.36-2.38
Pd  0.4698  0.2575  0.0000  4 S 2.36-2.38
Pd  0.5000  0.0000  0.5000  4 S 2.34
Pd  0.5302  0.7425  0.0000  4 S 2.36-2.38
Pd  0.7425  0.4698  0.5000  4 S 2.36-2.38
S  0.1935  0.3073  0.2279  4 Pd 2.34-2.38
S  0.1935  0.3073  0.7721  4 Pd 2.34-2.38
S  0.3073  0.8065  0.2721  4 Pd 2.34-2.38
S  0.3073  0.8065  0.7279  4 Pd 2.34-2.38
S  0.6927  0.1935  0.2721  4 Pd 2.34-2.38
S  0.6927  0.1935  0.7279  4 Pd 2.34-2.38
S  0.8065  0.6927  0.2279  4 Pd 2.34-2.38
S  0.8065  0.6927  0.7721  4 Pd 2.34-2.38

Record 5
Entry from Alexandria: an optimized crystal structure of PdS (GGA-PBE).

Summary:
As for the volume: 39.9 Å³ per cell. Its symmetry is F-43m (216). The magnetization comes out at 0.00 μB/cell.

abc: 3.8369 3.8369 3.8369
angles: 60.00 60.00 60.00
Last column: nearest neighbours and their distance in Å.
Fractional coordinates of all 2 atoms:
Pd  0.0000  0.0000  0.0000  4 S 2.35
S  0.2500  0.2500  0.2500  4 Pd 2.35

Record 6
Entry from Alexandria: an optimized crystal structure of PdS (GGA-PBE).

Summary:
As for the volume: 79.0 Å³ per cell. Its symmetry is P6_3mc (186). The magnetization comes out at 0.00 μB/cell.

abc: 3.6672 3.6672 6.7825
angles: 90.00 90.00 120.00
Last column: nearest neighbours and their distance in Å.
Fractional coordinates of all 4 atoms:
Pd  0.3333  0.6667  0.0000  4 S 2.35-2.37
Pd  0.6667  0.3333  0.5000  4 S 2.35-2.37
S  0.3333  0.6667  0.6500  4 Pd 2.35-2.37
S  0.6667  0.3333  0.1500  4 Pd 2.35-2.37

Record 7
Entry from Alexandria: an optimized crystal structure of PdS4 (GGA-PBE).

Summary:
As for the volume: 101.3 Å³ per cell. Its symmetry is Pm-3m (221). The magnetization comes out at 0.00 μB/cell.

abc: 4.6613 4.6613 4.6613
angles: 90.00 90.00 90.00
Last column: nearest neighbours and their distance in Å.
Fractional coordinates of all 5 atoms:
Pd  0.0000  0.0000  0.0000  6 S 2.33
S  0.0000  0.0000  0.5000  2 Pd 2.33
S  0.0000  0.5000  0.0000  2 Pd 2.33
S  0.5000  0.0000  0.0000  2 Pd 2.33
S  0.5000  0.5000  0.5000  12 S 3.30

Record 8
Entry from Alexandria: an optimized crystal structure of Pd5S2 (GGA-PBE).

Summary:
As for the volume: 217.0 Å³ per cell. Its symmetry is C2/c (15). The magnetization comes out at 0.00 μB/cell.

abc: 7.4280 7.4280 5.4970
angles: 96.94 96.94 46.19
Last column: nearest neighbours and their distance in Å.
Fractional coordinates of all 14 atoms:
Pd  0.0817  0.3580  0.2633  3 S 2.39-2.55
Pd  0.1321  0.8679  0.7500  4 S 2.43-2.60
Pd  0.3463  0.4563  0.0692  2 S 2.35-2.41
Pd  0.3580  0.0817  0.7633  3 S 2.39-2.55
Pd  0.4563  0.3463  0.5692  2 S 2.35-2.41
Pd  0.5437  0.6537  0.4308  2 S 2.35-2.41
Pd  0.6420  0.9183  0.2367  3 S 2.39-2.55
Pd  0.6537  0.5437  0.9308  2 S 2.35-2.41
Pd  0.8679  0.1321  0.2500  4 S 2.43-2.60
Pd  0.9183  0.6420  0.7367  3 S 2.39-2.55
S  0.0623  0.7013  0.3819  7 Pd 2.35-2.60
S  0.2987  0.9377  0.1181  7 Pd 2.35-2.60
S  0.7013  0.0623  0.8819  7 Pd 2.35-2.60
S  0.9377  0.2987  0.6181  7 Pd 2.35-2.60

Record 9
Entry from Alexandria: an optimized crystal structure of PdS4 (GGA-PBE).

Summary:
As for the volume: 279.9 Å³ per cell. Its symmetry is P2/c (13). The magnetization comes out at 0.00 μB/cell.

abc: 6.8909 5.2170 8.8475
angles: 90.00 118.36 90.00
Last column: nearest neighbours and their distance in Å.
Fractional coordinates of all 10 atoms:
Pd  0.0000  0.0915  0.2500  4 S 2.34-2.35
Pd  0.0000  0.9085  0.7500  4 S 2.34-2.35
S  0.1410  0.3479  0.1068  1 S 1.96
S  0.1410  0.6521  0.6068  1 S 1.96
S  0.2567  0.1617  0.9748  1 S 1.96
S  0.2567  0.8383  0.4748  1 S 1.96
S  0.7433  0.1617  0.5252  1 S 1.96
S  0.7433  0.8383  0.0252  1 S 1.96
S  0.8590  0.3479  0.3932  1 S 1.96
S  0.8590  0.6521  0.8932  1 S 1.96

Record 10
Entry from Alexandria: an optimized crystal structure of PdS3 (GGA-PBE).

Summary:
As for the volume: 162.9 Å³ per cell. Its symmetry is C2/m (12). The magnetization comes out at 0.00 μB/cell.

abc: 6.4846 6.4846 5.0481
angles: 100.22 100.22 124.03
Last column: nearest neighbours and their distance in Å.
Fractional coordinates of all 8 atoms:
Pd  0.1535  0.8465  0.0000  6 S 2.46-2.54
Pd  0.8465  0.1535  0.0000  6 S 2.46-2.54
S  0.0902  0.0902  0.3682  1 S 2.02
S  0.3020  0.5982  0.1673  1 S 2.00
S  0.4018  0.6980  0.8327  1 S 2.00
S  0.5982  0.3020  0.1673  1 S 2.00
S  0.6980  0.4018  0.8327  1 S 2.00
S  0.9098  0.9098  0.6318  1 S 2.02

Formation energy without anion corrections, respectively: 0.01, -0.09, -0.24, -0.35, -0.10, -0.09, 0.96, -0.18, 0.03, -0.03 eV per atom.